[1]
A relaxed TaCuCl2 crystal. Source: Alexandria, functional GGA-PBE.

Calculated values
Symmetry = Pm
Relative energy among the computed polymorphs = 0.00 kJ per mole of atoms
Formation energy (no corrections) = -410 meV per atom
Calculated density = 6.22 g cm⁻³

CIF file:
```
data_TaCuCl2
_chemical_formula_sum 'Ta1 Cu1 Cl2'
_space_group_name_H-M_alt 'P 1'
_space_group_IT_number 1
_cell_length_a 3.244
_cell_length_b 3.258
_cell_length_c 8.130
_cell_angle_alpha 78.55
_cell_angle_beta 90.00
_cell_angle_gamma 90.00
loop_
_space_group_symop_operation_xyz
'x,y,z'
loop_
_atom_site_label
_atom_site_fract_x
_atom_site_fract_y
_atom_site_fract_z
Cl1 0.500 0.128 0.368
Cl2 0.000 0.853 0.923
Cu1 0.000 0.553 0.518
Ta1 0.500 0.967 0.691
```

***

[2]
A relaxed TaCuCl crystal. Source: Alexandria, functional GGA-PBE.

Calculated values
Symmetry = F-43m
Relative energy among the computed polymorphs = 94.52 kJ per mole of atoms
Formation energy (no corrections) = 921 meV per atom
Calculated density = 9.49 g cm⁻³

CIF file:
```
data_TaCuCl
_chemical_formula_sum 'Ta1 Cu1 Cl1'
_space_group_name_H-M_alt 'P 1'
_space_group_IT_number 1
_cell_length_a 4.107
_cell_length_b 4.107
_cell_length_c 4.107
_cell_angle_alpha 60.00
_cell_angle_beta 60.00
_cell_angle_gamma 60.00
loop_
_space_group_symop_operation_xyz
'x,y,z'
loop_
_atom_site_label
_atom_site_fract_x
_atom_site_fract_y
_atom_site_fract_z
Cu1 0.000 0.000 0.000
Cl1 0.750 0.750 0.750
Ta1 0.500 0.500 0.500
```

***

[3]
A relaxed TaCuCl2 crystal. Source: Alexandria, functional GGA-PBE.

Calculated values
Symmetry = C2/m
Relative energy among the computed polymorphs = 6.18 kJ per mole of atoms
Formation energy (no corrections) = -346 meV per atom
Calculated density = 5.28 g cm⁻³

CIF file:
```
data_TaCuCl2
_chemical_formula_sum 'Ta1 Cu1 Cl2'
_space_group_name_H-M_alt 'P 1'
_space_group_IT_number 1
_cell_length_a 7.749
_cell_length_b 7.749
_cell_length_c 4.670
_cell_angle_alpha 72.54
_cell_angle_beta 72.54
_cell_angle_gamma 21.81
loop_
_space_group_symop_operation_xyz
'x,y,z'
loop_
_atom_site_label
_atom_site_fract_x
_atom_site_fract_y
_atom_site_fract_z
Ta1 0.250 0.250 0.250
Cl1 0.890 0.890 0.111
Cl2 0.610 0.610 0.389
Cu1 0.750 0.750 0.750
```

***

[4]
A relaxed TaCu3Cl9 crystal. Source: Alexandria, functional GGA-PBE.

Calculated values
Symmetry = Cc
Formation energy (no corrections) = -865 meV per atom
Calculated density = 2.84 g cm⁻³

CIF file:
```
data_TaCu3Cl9
_chemical_formula_sum 'Ta2 Cu6 Cl18'
_space_group_name_H-M_alt 'P 1'
_space_group_IT_number 1
_cell_length_a 9.084
_cell_length_b 9.641
_cell_length_c 11.403
_cell_angle_alpha 80.05
_cell_angle_beta 66.53
_cell_angle_gamma 61.89
loop_
_space_group_symop_operation_xyz
'x,y,z'
loop_
_atom_site_label
_atom_site_fract_x
_atom_site_fract_y
_atom_site_fract_z
Cl1 0.111 0.107 0.587
Cl2 0.747 0.947 0.400
Cl3 0.317 0.297 0.918
Cl4 0.962 0.399 0.186
Cl5 0.198 0.979 0.211
Cl6 0.988 0.530 0.486
Cl7 0.613 0.479 0.711
Cl8 0.194 0.607 0.087
Cl9 0.454 0.899 0.686
Cl10 0.746 0.000 0.765
Cl11 0.996 0.030 0.986
Cl12 0.488 0.500 0.265
Cl13 0.390 0.166 0.309
Cl14 0.467 0.797 0.418
Cl15 0.774 0.762 0.079
Cl16 0.135 0.666 0.809
Cl17 0.906 0.447 0.900
Cl18 0.386 0.262 0.579
Cu1 0.931 0.935 0.865
Cu2 0.363 0.756 0.273
Cu3 0.608 0.256 0.773
Cu4 0.900 0.352 0.603
Cu5 0.269 0.435 0.365
Cu6 0.146 0.852 0.103
Ta1 0.030 0.528 0.998
Ta2 0.445 0.028 0.498
```

***

[5]
A relaxed TaCuCl2 crystal. Source: Alexandria, functional GGA-PBE.

Calculated values
Symmetry = Cm
Relative energy among the computed polymorphs = 12.19 kJ per mole of atoms
Formation energy (no corrections) = -283 meV per atom
Calculated density = 5.07 g cm⁻³

CIF file:
```
data_TaCuCl2
_chemical_formula_sum 'Ta1 Cu1 Cl2'
_space_group_name_H-M_alt 'P 1'
_space_group_IT_number 1
_cell_length_a 7.583
_cell_length_b 7.583
_cell_length_c 7.562
_cell_angle_alpha 39.46
_cell_angle_beta 39.46
_cell_angle_gamma 22.66
loop_
_space_group_symop_operation_xyz
'x,y,z'
loop_
_atom_site_label
_atom_site_fract_x
_atom_site_fract_y
_atom_site_fract_z
Cl1 0.894 0.894 0.114
Cl2 0.745 0.745 0.857
Ta1 0.295 0.295 0.035
Cu1 0.566 0.566 0.493
```

***

[6]
A relaxed TaCuCl2 crystal. Source: Alexandria, functional GGA-PBE.

Calculated values
Symmetry = P4/mmm
Relative energy among the computed polymorphs = 92.59 kJ per mole of atoms
Formation energy (no corrections) = 550 meV per atom
Calculated density = 8.14 g cm⁻³

CIF file:
```
data_TaCuCl2
_chemical_formula_sum 'Ta1 Cu1 Cl2'
_space_group_name_H-M_alt 'P 1'
_space_group_IT_number 1
_cell_length_a 3.055
_cell_length_b 4.589
_cell_length_c 4.589
_cell_angle_alpha 90.00
_cell_angle_beta 90.00
_cell_angle_gamma 90.00
loop_
_space_group_symop_operation_xyz
'x,y,z'
loop_
_atom_site_label
_atom_site_fract_x
_atom_site_fract_y
_atom_site_fract_z
Ta1 0.500 0.000 0.500
Cl1 0.000 0.000 0.000
Cl2 0.000 0.500 0.500
Cu1 0.500 0.500 0.000
```

***

[7]
A relaxed TaCuCl2 crystal. Source: Alexandria, functional GGA-PBE.

Calculated values
Symmetry = Cmmm
Relative energy among the computed polymorphs = 38.20 kJ per mole of atoms
Formation energy (no corrections) = -14 meV per atom
Calculated density = 5.80 g cm⁻³

CIF file:
```
data_TaCuCl2
_chemical_formula_sum 'Ta1 Cu1 Cl2'
_space_group_name_H-M_alt 'P 1'
_space_group_IT_number 1
_cell_length_a 3.205
_cell_length_b 3.205
_cell_length_c 10.838
_cell_angle_alpha 90.00
_cell_angle_beta 90.00
_cell_angle_gamma 125.79
loop_
_space_group_symop_operation_xyz
'x,y,z'
loop_
_atom_site_label
_atom_site_fract_x
_atom_site_fract_y
_atom_site_fract_z
Cl1 0.000 0.000 0.935
Cl2 0.000 0.000 0.565
Cu1 0.500 0.500 0.250
Ta1 0.500 0.500 0.750
```

***

[8]
A relaxed TaCuCl3 crystal. Source: Alexandria, functional GGA-PBE.

Calculated values
Symmetry = Pm-3m
Relative energy among the computed polymorphs = 0.00 kJ per mole of atoms
Formation energy (no corrections) = -17 meV per atom
Calculated density = 5.11 g cm⁻³

CIF file:
```
data_TaCuCl3
_chemical_formula_sum 'Ta1 Cu1 Cl3'
_space_group_name_H-M_alt 'P 1'
_space_group_IT_number 1
_cell_length_a 4.849
_cell_length_b 4.849
_cell_length_c 4.849
_cell_angle_alpha 90.00
_cell_angle_beta 90.00
_cell_angle_gamma 90.00
loop_
_space_group_symop_operation_xyz
'x,y,z'
loop_
_atom_site_label
_atom_site_fract_x
_atom_site_fract_y
_atom_site_fract_z
Ta1 0.000 0.000 0.000
Cl1 0.000 0.000 0.500
Cl2 0.000 0.500 0.000
Cl3 0.500 0.000 0.000
Cu1 0.500 0.500 0.500
```

***

[9]
A relaxed TaCuCl6 crystal. Source: Alexandria, functional GGA-PBE.

Calculated values
Symmetry = P-1
Relative energy among the computed polymorphs = 0.75 kJ per mole of atoms
Formation energy (no corrections) = -1075 meV per atom
Calculated density = 3.02 g cm⁻³

CIF file:
```
data_TaCuCl6
_chemical_formula_sum 'Ta1 Cu1 Cl6'
_space_group_name_H-M_alt 'P 1'
_space_group_IT_number 1
_cell_length_a 7.373
_cell_length_b 6.382
_cell_length_c 9.025
_cell_angle_alpha 51.83
_cell_angle_beta 49.42
_cell_angle_gamma 70.85
loop_
_space_group_symop_operation_xyz
'x,y,z'
loop_
_atom_site_label
_atom_site_fract_x
_atom_site_fract_y
_atom_site_fract_z
Cl1 0.153 0.124 0.099
Cl2 0.139 0.452 0.630
Cl3 0.633 0.152 0.190
Cl4 0.847 0.876 0.901
Cl5 0.367 0.848 0.810
Cl6 0.861 0.548 0.370
Ta1 0.000 0.000 0.000
Cu1 0.500 0.500 0.500
```

***

[10]
A relaxed TaCuCl2 crystal. Source: Alexandria, functional GGA-PBE.

Calculated values
Symmetry = F-43m
Relative energy among the computed polymorphs = 115.02 kJ per mole of atoms
Formation energy (no corrections) = 782 meV per atom
Calculated density = 7.44 g cm⁻³

CIF file:
```
data_TaCuCl2
_chemical_formula_sum 'Ta1 Cu1 Cl2'
_space_group_name_H-M_alt 'P 1'
_space_group_IT_number 1
_cell_length_a 4.635
_cell_length_b 4.635
_cell_length_c 4.635
_cell_angle_alpha 60.00
_cell_angle_beta 60.00
_cell_angle_gamma 60.00
loop_
_space_group_symop_operation_xyz
'x,y,z'
loop_
_atom_site_label
_atom_site_fract_x
_atom_site_fract_y
_atom_site_fract_z
Cl1 0.250 0.250 0.250
Cl2 0.000 0.000 0.000
Cu1 0.500 0.500 0.500
Ta1 0.750 0.750 0.750
```

***

Q: Number 3 is which compound?
A: TaCuCl2

***

Q: Among the records above, which one has the lowest calculated density?
A: TaCu3Cl9

***

Q: What is the calculated density in the ninth record?
A: 3.02 g cm⁻³

***

Q: The highest calculated density belongs to which entry?
A: TaCuCl